Record 1
# KAu2Se

A relaxed KAu2Se crystal (PBE-GGA, Alexandria via LeMat-Bulk).

Results
- space group = I4/mmm (139)
- volume (Å³ per cell) = 90.14
- electronic total energy (eV for the cell shown) = -11.14

Cell lengths 5.746, 5.746, 5.746 Å; angles 136.05, 136.05, 63.90 degrees
Sites, in units of the cell vectors:
Au1 0.000 0.000 0.000
Au2 0.500 0.500 0.000
K1 0.250 0.750 0.500
Se1 0.750 0.250 0.500

***

Record 2
# KAu2Se

A relaxed KAu2Se crystal (PBE-GGA, Alexandria via LeMat-Bulk).

Results
- space group = R3m (160)
- volume (Å³ per cell) = 116.67
- electronic total energy (eV for the cell shown) = -12.18

Cell lengths 6.357, 6.357, 6.357 Å; angles 44.94, 44.94, 44.94 degrees
Sites, in units of the cell vectors:
Au1 0.997 0.997 0.997
Au2 0.316 0.316 0.316
K1 0.502 0.502 0.502
Se1 0.686 0.686 0.686

***

Record 3
# KAuSe3

A relaxed KAuSe3 crystal (PBE-GGA, Alexandria via LeMat-Bulk).

Results
- space group = Pm-3m (221)
- volume (Å³ per cell) = 142.42
- electronic total energy (eV for the cell shown) = -15.15

Cell lengths 5.222, 5.222, 5.222 Å; angles 90.00, 90.00, 90.00 degrees
Sites, in units of the cell vectors:
K1 0.500 0.500 0.500
Au1 0.000 0.000 0.000
Se1 0.000 0.500 0.000
Se2 0.000 0.000 0.500
Se3 0.500 0.000 0.000

***

Record 4
# K2AuSe

A relaxed K2AuSe crystal (PBE-GGA, Alexandria via LeMat-Bulk).

Results
- space group = Imm2 (44)
- volume (Å³ per cell) = 125.00
- electronic total energy (eV for the cell shown) = -11.04

Cell lengths 6.434, 6.434, 6.434 Å; angles 139.47, 132.96, 63.80 degrees
Sites, in units of the cell vectors:
Au1 0.694 0.194 0.500
K1 0.982 0.982 0.000
K2 0.269 0.769 0.500
Se1 0.555 0.555 0.000

***

> Which value of electronic total energy does entry 1 give?

-11.14 eV for the cell shown

***

> Which of these has the lowest volume?

number 1

***

> volume of number 1 (KAu2Se)?

90.14 Å³ per cell